Entry 1:
Density functional theory data (PBE) for an optimized crystal structure of CoNiSb.

Cell: 5.425 4.005 7.679 Å, 90.00 90.00 90.00°
Atoms (fractional coordinates):
Co (0.057, 0.250, 0.209)
Co (0.443, 0.750, 0.709)
Co (0.557, 0.250, 0.291)
Co (0.943, 0.750, 0.791)
Ni (0.165, 0.250, 0.559)
Ni (0.335, 0.750, 0.059)
Ni (0.665, 0.250, 0.941)
Ni (0.835, 0.750, 0.441)
Sb (0.204, 0.250, 0.885)
Sb (0.296, 0.750, 0.385)
Sb (0.704, 0.250, 0.615)
Sb (0.796, 0.750, 0.115)

Results
Magnetic moment in μB per cell: 0.13
DFT total energy in eV for the cell shown: -67.1

***

Entry 2:
Density functional theory data (PBE) for an optimized crystal structure of BaNi9P5.

Cell: 6.514 6.514 10.860 Å, 90.00 90.00 120.00°
Atoms (fractional coordinates):
Ba (0.000, 0.000, 0.000)
Ba (0.000, 0.000, 0.500)
Ni (0.072, 0.536, 0.107)
Ni (0.072, 0.536, 0.393)
Ni (0.203, 0.406, 0.750)
Ni (0.203, 0.797, 0.750)
Ni (0.406, 0.203, 0.250)
Ni (0.464, 0.536, 0.107)
Ni (0.464, 0.536, 0.393)
Ni (0.464, 0.928, 0.107)
Ni (0.464, 0.928, 0.393)
Ni (0.536, 0.072, 0.607)
Ni (0.536, 0.072, 0.893)
Ni (0.536, 0.464, 0.607)
Ni (0.536, 0.464, 0.893)
Ni (0.594, 0.797, 0.750)
Ni (0.797, 0.203, 0.250)
Ni (0.797, 0.594, 0.250)
Ni (0.928, 0.464, 0.607)
Ni (0.928, 0.464, 0.893)
P (0.176, 0.351, 0.250)
P (0.176, 0.824, 0.250)
P (0.333, 0.667, 0.562)
P (0.333, 0.667, 0.938)
P (0.351, 0.176, 0.750)
P (0.649, 0.824, 0.250)
P (0.667, 0.333, 0.062)
P (0.667, 0.333, 0.438)
P (0.824, 0.176, 0.750)
P (0.824, 0.649, 0.750)

Results
Magnetic moment in μB per cell: 0.02
DFT total energy in eV for the cell shown: -178.3

***

Entry 3:
Density functional theory data (PBE) for an optimized crystal structure of RbHoZnO3.

Cell: 6.592 6.592 8.949 Å, 90.00 90.00 149.70°
Atoms (fractional coordinates):
Rb (0.221, 0.779, 0.750)
Rb (0.779, 0.221, 0.250)
Ho (0.500, 0.500, 0.000)
Ho (0.500, 0.500, 0.500)
Zn (0.057, 0.943, 0.250)
Zn (0.943, 0.057, 0.750)
O (0.111, 0.889, 0.051)
O (0.111, 0.889, 0.449)
O (0.464, 0.536, 0.250)
O (0.536, 0.464, 0.750)
O (0.889, 0.111, 0.551)
O (0.889, 0.111, 0.949)

Results
Magnetic moment in μB per cell: 0.00
DFT total energy in eV for the cell shown: -70.1

***

Entry 4:
Density functional theory data (PBE) for an optimized crystal structure of YAgTe2.

Cell: 5.289 5.289 5.289 Å, 60.00 60.00 60.00°
Atoms (fractional coordinates):
Y (0.000, 0.000, 0.000)
Ag (0.750, 0.750, 0.750)
Te (0.250, 0.250, 0.250)
Te (0.500, 0.500, 0.500)

Results
Magnetic moment in μB per cell: 0.00
DFT total energy in eV for the cell shown: -16.9

***

Entry 5:
Density functional theory data (PBE) for an optimized crystal structure of ZrTlCuNi.

Cell: 4.581 4.581 4.581 Å, 60.00 60.00 60.00°
Atoms (fractional coordinates):
Zr (0.000, 0.000, 0.000)
Tl (0.750, 0.750, 0.750)
Cu (0.250, 0.250, 0.250)
Ni (0.500, 0.500, 0.500)

Results
Magnetic moment in μB per cell: 0.01
ΔE to the lowest computed polymorph in eV per atom: 0.209
DFT total energy in eV for the cell shown: -19.9

***

Entry 6:
Density functional theory data (PBE) for an optimized crystal structure of Li2Sc2GaGePt2.

Cell: 4.457 4.457 6.329 Å, 90.00 90.00 90.00°
Atoms (fractional coordinates):
Li (0.000, 0.500, 0.250)
Li (0.500, 0.000, 0.750)
Sc (0.000, 0.000, 0.000)
Sc (0.500, 0.500, 0.500)
Ga (0.000, 0.000, 0.500)
Ge (0.500, 0.500, 0.000)
Pt (0.000, 0.500, 0.750)
Pt (0.500, 0.000, 0.250)

Results
Magnetic moment in μB per cell: 0.00
DFT total energy in eV for the cell shown: -43.2